LaPm2DyEr4: relaxed, PBE-GGA.

Results
* ΔE_f: 0.02 eV per atom

a = 7.136 Å, b = 7.164 Å, c = 12.325 Å
α = 89.86°, β = 73.18°, γ = 60.23°
Space group P-1 (No. 2)
One atom of each set of equivalent atoms:
La 0.000 0.000 0.000
La 0.500 0.500 0.000
Pm 0.000 0.000 0.500
Pm 0.000 0.500 0.500
Pm 0.500 0.000 0.000
Pm 0.500 0.000 0.500
Dy 0.000 0.500 0.000
Dy 0.500 0.500 0.500
Er 0.001 0.250 0.748
Er 0.001 0.749 0.749
Er 0.499 0.251 0.252
Er 0.500 0.250 0.749